(1)
Here is a crystal of KY2Tl relaxed with PBEsol from Alexandria via LeMat-Bulk. Energies are from SCAN.

a = 3.8273 Å, b = 5.5041 Å, c = 11.9149 Å
α = 90.00°, β = 90.00°, γ = 90.00°
Closest atoms and distances in Å follow each position.
Sites, in units of the cell vectors:
K (0.0000, 0.0000, 0.0000)  2 Tl 3.38, 6 Y 3.43-3.72
K (0.5000, 0.5000, 0.5000)  2 Tl 3.38, 6 Y 3.43-3.72
Y (0.0000, 0.0000, 0.4387)  2 Tl 3.10, 4 K 3.43
Y (0.0000, 0.5000, 0.2106)  4 Tl 3.36, 2 K 3.72, 2 Y 3.76
Y (0.5000, 0.0000, 0.7106)  4 Tl 3.36, 2 K 3.72, 2 Y 3.76
Y (0.5000, 0.5000, 0.9387)  2 Tl 3.10, 4 K 3.43
Tl (0.0000, 0.5000, 0.7341)  6 Y 3.10-3.36, 2 K 3.38
Tl (0.5000, 0.0000, 0.2341)  6 Y 3.10-3.36, 2 K 3.38

Summary:
**Total magnetic moment**: 0.62 μB/f.u.
**N(E_F)**: 6.26 states/eV/cell
**Offset from the most stable computed form**: 124 meV/atom
**SG**: Imm2, No. 44
**ΔH_f (0 K)**: 0.081 eV/atom

(2)
Here is a crystal of K2YTl relaxed with PBEsol from Alexandria via LeMat-Bulk. Energies are from SCAN.

a = 6.6122 Å, b = 13.4029 Å, c = 3.7919 Å
α = 90.00°, β = 122.76°, γ = 90.00°
Closest atoms and distances in Å follow each position.
Sites, in units of the cell vectors:
K (0.2500, 0.2500, 0.0000)  4 K 3.31-3.43
K (0.2500, 0.7500, 0.0000)  4 K 3.31-3.43
K (0.7500, 0.2500, 0.0000)  4 K 3.31-3.43
K (0.7500, 0.7500, 0.0000)  4 K 3.31-3.43
Y (0.0000, 0.0000, 0.5000)  4 Tl 3.31-3.43
Y (0.5000, 0.5000, 0.5000)  4 Tl 3.31-3.43
Tl (0.0000, 0.5000, 0.5000)  4 Y 3.31-3.43
Tl (0.5000, 0.0000, 0.5000)  4 Y 3.31-3.43

Summary:
**Total magnetic moment**: 0.99 μB/f.u.
**N(E_F)**: 6.11 states/eV/cell
**Offset from the most stable computed form**: 69 meV/atom
**SG**: C2/m, No. 12
**ΔH_f (0 K)**: 0.149 eV/atom

(3)
Here is a crystal of KY2Tl relaxed with PBEsol from Alexandria via LeMat-Bulk. Energies are from SCAN.

a = 3.5116 Å, b = 3.5116 Å, c = 11.1318 Å
α = 90.00°, β = 90.00°, γ = 90.00°
Closest atoms and distances in Å follow each position.
Sites, in units of the cell vectors:
K (0.0000, 0.0000, 0.0000)  4 K 3.51
Y (0.5000, 0.5000, 0.3171)  4 Tl 3.21, 4 Y 3.51
Y (0.5000, 0.5000, 0.6829)  4 Tl 3.21, 4 Y 3.51
Tl (0.0000, 0.0000, 0.5000)  8 Y 3.21, 4 Tl 3.51

Summary:
**Total magnetic moment**: 0.67 μB/f.u.
**N(E_F)**: 4.10 states/eV/cell
**Offset from the most stable computed form**: 0 meV/atom
**SG**: P4/mmm, No. 123
**ΔH_f (0 K)**: -0.043 eV/atom

(4)
Here is a crystal of K2YTl relaxed with PBEsol from Alexandria via LeMat-Bulk. Energies are from SCAN.

a = 4.0691 Å, b = 5.2692 Å, c = 6.4756 Å
α = 90.00°, β = 90.00°, γ = 90.00°
Closest atoms and distances in Å follow each position.
Sites, in units of the cell vectors:
K (0.0000, 0.0000, 0.0000)  4 K 3.33
K (0.5000, 0.5000, 0.0000)  4 K 3.33
Y (0.0000, 0.5000, 0.5000)  4 Tl 3.33
Tl (0.5000, 0.0000, 0.5000)  4 Y 3.33

Summary:
**Total magnetic moment**: 1.02 μB/f.u.
**N(E_F)**: 1.86 states/eV/cell
**Offset from the most stable computed form**: 0 meV/atom
**SG**: Pmmm, No. 47
**ΔH_f (0 K)**: 0.079 eV/atom

(5)
Here is a crystal of KY2Tl relaxed with PBEsol from Alexandria via LeMat-Bulk. Energies are from SCAN.

a = 3.6818 Å, b = 3.6818 Å, c = 35.3939 Å
α = 90.00°, β = 90.00°, γ = 120.00°
Closest atoms and distances in Å follow each position.
Sites, in units of the cell vectors:
K (0.0000, 0.0000, 0.0000)  6 K 3.68
K (0.3333, 0.6667, 0.6667)  6 K 3.68
K (0.6667, 0.3333, 0.3333)  6 K 3.68
Y (0.0000, 0.0000, 0.2326)  3 Tl 3.16
Y (0.0000, 0.0000, 0.7674)  3 Tl 3.16
Y (0.3333, 0.6667, 0.4340)  3 Tl 3.16
Y (0.3333, 0.6667, 0.8993)  3 Tl 3.16
Y (0.6667, 0.3333, 0.1007)  3 Tl 3.16
Y (0.6667, 0.3333, 0.5660)  3 Tl 3.16
Tl (0.0000, 0.0000, 0.5000)  6 Y 3.16
Tl (0.3333, 0.6667, 0.1667)  6 Y 3.16
Tl (0.6667, 0.3333, 0.8333)  6 Y 3.16

Summary:
**Total magnetic moment**: 0.58 μB/f.u.
**N(E_F)**: 11.70 states/eV/cell
**Offset from the most stable computed form**: 44 meV/atom
**SG**: R-3m, No. 166
**ΔH_f (0 K)**: 0.001 eV/atom

(6)
Here is a crystal of K2YTl relaxed with PBEsol from Alexandria via LeMat-Bulk. Energies are from SCAN.

a = 8.3535 Å, b = 8.3535 Å, c = 8.3535 Å
α = 90.00°, β = 90.00°, γ = 90.00°
Closest atoms and distances in Å follow each position.
Sites, in units of the cell vectors:
K (0.2500, 0.2500, 0.2500)  4 Tl 3.62, 4 Y 3.62
K (0.2500, 0.2500, 0.7500)  4 Tl 3.62, 4 Y 3.62
K (0.2500, 0.7500, 0.2500)  4 Tl 3.62, 4 Y 3.62
K (0.2500, 0.7500, 0.7500)  4 Tl 3.62, 4 Y 3.62
K (0.7500, 0.2500, 0.2500)  4 Tl 3.62, 4 Y 3.62
K (0.7500, 0.2500, 0.7500)  4 Tl 3.62, 4 Y 3.62
K (0.7500, 0.7500, 0.2500)  4 Tl 3.62, 4 Y 3.62
K (0.7500, 0.7500, 0.7500)  4 Tl 3.62, 4 Y 3.62
Y (0.0000, 0.0000, 0.0000)  8 K 3.62
Y (0.0000, 0.5000, 0.5000)  8 K 3.62
Y (0.5000, 0.0000, 0.5000)  8 K 3.62
Y (0.5000, 0.5000, 0.0000)  8 K 3.62
Tl (0.0000, 0.0000, 0.5000)  8 K 3.62
Tl (0.0000, 0.5000, 0.0000)  8 K 3.62
Tl (0.5000, 0.0000, 0.0000)  8 K 3.62
Tl (0.5000, 0.5000, 0.5000)  8 K 3.62

Summary:
**Total magnetic moment**: 0.02 μB/f.u.
**N(E_F)**: 8.87 states/eV/cell
**Offset from the most stable computed form**: 358 meV/atom
**SG**: Fm-3m, No. 225
**ΔH_f (0 K)**: 0.438 eV/atom

(7)
Here is a crystal of KTl2Zn relaxed with PBEsol from Alexandria via LeMat-Bulk. Energies are from SCAN.

a = 7.4763 Å, b = 7.4763 Å, c = 7.4763 Å
α = 90.00°, β = 90.00°, γ = 90.00°
Closest atoms and distances in Å follow each position.
Sites, in units of the cell vectors:
K (0.0000, 0.0000, 0.0000)  8 Tl 3.24
K (0.0000, 0.5000, 0.5000)  8 Tl 3.24
K (0.5000, 0.0000, 0.5000)  8 Tl 3.24
K (0.5000, 0.5000, 0.0000)  8 Tl 3.24
Tl (0.2500, 0.2500, 0.2500)  4 K 3.24, 4 Zn 3.24
Tl (0.2500, 0.2500, 0.7500)  4 Zn 3.24, 4 K 3.24
Tl (0.2500, 0.7500, 0.2500)  4 Zn 3.24, 4 K 3.24
Tl (0.2500, 0.7500, 0.7500)  4 K 3.24, 4 Zn 3.24
Tl (0.7500, 0.2500, 0.2500)  4 Zn 3.24, 4 K 3.24
Tl (0.7500, 0.2500, 0.7500)  4 K 3.24, 4 Zn 3.24
Tl (0.7500, 0.7500, 0.2500)  4 K 3.24, 4 Zn 3.24
Tl (0.7500, 0.7500, 0.7500)  4 Zn 3.24, 4 K 3.24
Zn (0.0000, 0.0000, 0.5000)  8 Tl 3.24
Zn (0.0000, 0.5000, 0.0000)  8 Tl 3.24
Zn (0.5000, 0.0000, 0.0000)  8 Tl 3.24
Zn (0.5000, 0.5000, 0.5000)  8 Tl 3.24

Summary:
**Total magnetic moment**: 0.00 μB/f.u.
**N(E_F)**: 8.58 states/eV/cell
**Offset from the most stable computed form**: 160 meV/atom
**SG**: Fm-3m, No. 225
**ΔH_f (0 K)**: 0.076 eV/atom

(8)
Here is a crystal of KTl2Zn relaxed with PBEsol from Alexandria via LeMat-Bulk. Energies are from SCAN.

a = 4.3413 Å, b = 5.4484 Å, c = 9.5357 Å
α = 90.00°, β = 90.00°, γ = 90.00°
Closest atoms and distances in Å follow each position.
Sites, in units of the cell vectors:
K (0.0000, 0.0000, 0.0000)  4 Zn 3.35-3.51, 8 Tl 3.42-3.51
K (0.5000, 0.5000, 0.5000)  4 Zn 3.35-3.51, 8 Tl 3.42-3.51
Tl (0.0000, 0.0000, 0.5420)  2 Zn 2.83
Tl (0.0000, 0.5000, 0.7829)  4 Tl 3.29-3.56, 4 K 3.42-3.46, 4 Zn 3.52
Tl (0.5000, 0.0000, 0.2829)  4 Tl 3.29-3.56, 4 K 3.42-3.46, 4 Zn 3.52
Tl (0.5000, 0.5000, 0.0420)  2 Zn 2.83
Zn (0.0000, 0.5000, 0.2329)  2 Tl 2.83
Zn (0.5000, 0.0000, 0.7329)  2 Tl 2.83

Summary:
**Total magnetic moment**: 0.00 μB/f.u.
**N(E_F)**: 3.15 states/eV/cell
**Offset from the most stable computed form**: 138 meV/atom
**SG**: Imm2, No. 44
**ΔH_f (0 K)**: 0.055 eV/atom

(9)
Here is a crystal of K2TlZn relaxed with PBEsol from Alexandria via LeMat-Bulk. Energies are from SCAN.

a = 7.3040 Å, b = 10.0516 Å, c = 3.7133 Å
α = 90.00°, β = 90.00°, γ = 90.00°
Closest atoms and distances in Å follow each position.
Sites, in units of the cell vectors:
K (0.2500, 0.2500, 0.0000)  4 Tl 3.62, 4 Zn 3.62, 4 K 3.65-3.71
K (0.2500, 0.7500, 0.0000)  4 Tl 3.62, 4 Zn 3.62, 4 K 3.65-3.71
K (0.7500, 0.2500, 0.0000)  4 Zn 3.62, 4 Tl 3.62, 4 K 3.65-3.71
K (0.7500, 0.7500, 0.0000)  4 Tl 3.62, 4 Zn 3.62, 4 K 3.65-3.71
Tl (0.0000, 0.0000, 0.5000)  8 K 3.62, 2 Zn 3.65, 2 Tl 3.71
Tl (0.5000, 0.5000, 0.5000)  8 K 3.62, 2 Zn 3.65, 2 Tl 3.71
Zn (0.0000, 0.5000, 0.5000)  8 K 3.62, 2 Tl 3.65, 2 Zn 3.71
Zn (0.5000, 0.0000, 0.5000)  8 K 3.62, 2 Tl 3.65, 2 Zn 3.71

Summary:
**Total magnetic moment**: 0.00 μB/f.u.
**N(E_F)**: 6.66 states/eV/cell
**Offset from the most stable computed form**: 80 meV/atom
**SG**: Cmmm, No. 65
**ΔH_f (0 K)**: 0.112 eV/atom

(10)
Here is a crystal of K2TlZn relaxed with PBEsol from Alexandria via LeMat-Bulk. Energies are from SCAN.

a = 3.9154 Å, b = 3.9154 Å, c = 9.8306 Å
α = 90.00°, β = 90.00°, γ = 90.00°
Closest atoms and distances in Å follow each position.
Sites, in units of the cell vectors:
K (0.0000, 0.0000, 0.0000)  1 Zn 3.45, 4 Tl 3.72
K (0.5000, 0.5000, 0.3990)  1 Tl 3.42, 4 Zn 3.70
Tl (0.5000, 0.5000, 0.7470)  4 Zn 2.93
Zn (0.0000, 0.0000, 0.6486)  4 Tl 2.93

Summary:
**Total magnetic moment**: 0.05 μB/f.u.
**N(E_F)**: 1.87 states/eV/cell
**Offset from the most stable computed form**: 0 meV/atom
**SG**: P4mm, No. 99
**ΔH_f (0 K)**: 0.032 eV/atom

(11)
Here is a crystal of K2TlZn relaxed with PBEsol from Alexandria via LeMat-Bulk. Energies are from SCAN.

a = 5.0267 Å, b = 5.0475 Å, c = 10.4953 Å
α = 90.00°, β = 90.00°, γ = 90.00°
Closest atoms and distances in Å follow each position.
Sites, in units of the cell vectors:
K (0.0000, 0.0000, 0.2491)  4 K 3.56, 4 Zn 3.63-3.65, 4 Tl 3.63-3.64
K (0.0000, 0.0000, 0.7509)  4 K 3.56, 4 Zn 3.63-3.65, 4 Tl 3.63-3.64
K (0.5000, 0.5000, 0.2509)  4 K 3.56, 4 Zn 3.63-3.65, 4 Tl 3.63-3.64
K (0.5000, 0.5000, 0.7491)  4 K 3.56, 4 Zn 3.63-3.65, 4 Tl 3.63-3.64
Tl (0.0000, 0.5000, 0.0000)  4 Zn 3.56, 8 K 3.63-3.64
Tl (0.5000, 0.0000, 0.5000)  4 Zn 3.56, 8 K 3.63-3.64
Zn (0.0000, 0.5000, 0.5000)  4 Tl 3.56, 8 K 3.63-3.65
Zn (0.5000, 0.0000, 0.0000)  4 Tl 3.56, 8 K 3.63-3.65

Summary:
**Total magnetic moment**: 0.01 μB/f.u.
**N(E_F)**: 6.52 states/eV/cell
**Offset from the most stable computed form**: 97 meV/atom
**SG**: Immm, No. 71
**ΔH_f (0 K)**: 0.130 eV/atom

(12)
Here is a crystal of KTl2Zn relaxed with PBEsol from Alexandria via LeMat-Bulk. Energies are from SCAN.

a = 4.6254 Å, b = 4.6254 Å, c = 19.7502 Å
α = 90.00°, β = 90.00°, γ = 120.00°
Closest atoms and distances in Å follow each position.
Sites, in units of the cell vectors:
K (0.0000, 0.0000, 0.0000)  6 Tl 3.53
K (0.3333, 0.6667, 0.6667)  6 Tl 3.53
K (0.6667, 0.3333, 0.3333)  6 Tl 3.53
Tl (0.0000, 0.0000, 0.2164)  3 Zn 2.85
Tl (0.0000, 0.0000, 0.7836)  3 Zn 2.85
Tl (0.3333, 0.6667, 0.4503)  3 Zn 2.85
Tl (0.3333, 0.6667, 0.8831)  3 Zn 2.85
Tl (0.6667, 0.3333, 0.1169)  3 Zn 2.85
Tl (0.6667, 0.3333, 0.5497)  3 Zn 2.85
Zn (0.0000, 0.0000, 0.5000)  6 Tl 2.85
Zn (0.3333, 0.6667, 0.1667)  6 Tl 2.85
Zn (0.6667, 0.3333, 0.8333)  6 Tl 2.85

Summary:
**Total magnetic moment**: 0.00 μB/f.u.
**N(E_F)**: 5.63 states/eV/cell
**Offset from the most stable computed form**: 0 meV/atom
**SG**: R-3m, No. 166
**ΔH_f (0 K)**: -0.083 eV/atom

(13)
Here is a crystal of K2TlZn relaxed with PBEsol from Alexandria via LeMat-Bulk. Energies are from SCAN.

a = 3.8139 Å, b = 3.8139 Å, c = 33.4922 Å
α = 90.00°, β = 90.00°, γ = 120.00°
Closest atoms and distances in Å follow each position.
Sites, in units of the cell vectors:
K (0.0000, 0.0000, 0.2463)  3 Zn 3.46, 3 Tl 3.65, 6 K 3.81
K (0.0000, 0.0000, 0.7537)  3 Zn 3.46, 3 Tl 3.65, 6 K 3.81
K (0.3333, 0.6667, 0.4204)  3 Zn 3.46, 3 Tl 3.65, 6 K 3.81
K (0.3333, 0.6667, 0.9129)  3 Zn 3.46, 3 Tl 3.65, 6 K 3.81
K (0.6667, 0.3333, 0.0871)  3 Zn 3.46, 3 Tl 3.65, 6 K 3.81
K (0.6667, 0.3333, 0.5796)  3 Zn 3.46, 3 Tl 3.65, 6 K 3.81
Tl (0.0000, 0.0000, 0.0000)  6 K 3.65, 6 Tl 3.81
Tl (0.3333, 0.6667, 0.6667)  6 K 3.65, 6 Tl 3.81
Tl (0.6667, 0.3333, 0.3333)  6 K 3.65, 6 Tl 3.81
Zn (0.0000, 0.0000, 0.5000)  6 K 3.46, 6 Zn 3.81
Zn (0.3333, 0.6667, 0.1667)  6 K 3.46, 6 Zn 3.81
Zn (0.6667, 0.3333, 0.8333)  6 K 3.46, 6 Zn 3.81

Summary:
**Total magnetic moment**: 0.00 μB/f.u.
**N(E_F)**: 7.78 states/eV/cell
**Offset from the most stable computed form**: 165 meV/atom
**SG**: R-3m, No. 166
**ΔH_f (0 K)**: 0.198 eV/atom

(14)
Here is a crystal of KZr4Tl relaxed with PBEsol from Alexandria via LeMat-Bulk. Energies are from SCAN.

a = 5.9254 Å, b = 5.9254 Å, c = 5.9254 Å
α = 60.00°, β = 60.00°, γ = 60.00°
Closest atoms and distances in Å follow each position.
Sites, in units of the cell vectors:
K (0.0000, 0.0000, 0.0000)  12 Zr 3.48, 4 Tl 3.63
Zr (0.1277, 0.6241, 0.6241)  6 Zr 2.94-2.98
Zr (0.6241, 0.1277, 0.6241)  6 Zr 2.94-2.98
Zr (0.6241, 0.6241, 0.1277)  6 Zr 2.94-2.98
Zr (0.6241, 0.6241, 0.6241)  6 Zr 2.94-2.98
Tl (0.2500, 0.2500, 0.2500)  12 Zr 3.47, 4 K 3.63

Summary:
**Total magnetic moment**: 0.00 μB/f.u.
**N(E_F)**: 5.42 states/eV/cell
**SG**: F-43m, No. 216
**ΔH_f (0 K)**: 0.597 eV/atom

Calculated total energy (Ry per atom)
-2.4999; -2.1363; -2.5090; -2.1414; -2.5058; -2.1151; -3.0549; -3.0565; -1.8757; -1.8816; -1.8745; -3.0666; -1.8694; -2.4487